# TlCd2MoF8, relaxed, DFT PBE with a Hubbard U
# Uncorrected energy (eV/atom): -4.411
# Crystal system: monoclinic
# V (Å³/cell): 200.5
data_TlCd2MoF8
_cell_length_a 4.971
_cell_length_b 7.474
_cell_length_c 5.398
_cell_angle_alpha 90.00
_cell_angle_beta 90.05
_cell_angle_gamma 90.00
_symmetry_space_group_name_H-M 'P 1'
_symmetry_Int_Tables_number 1
_symmetry_space_group_name_Hall 'P 1'
loop_
_atom_site_label
_atom_site_fract_x
_atom_site_fract_y
_atom_site_fract_z
Tl1 0.000 0.000 0.000
Cd1 0.500 0.250 0.500
Cd2 0.500 0.750 0.500
Mo1 0.000 0.500 0.000
F1 0.161 0.304 0.237
F2 0.161 0.696 0.237
F3 0.325 0.500 0.738
F4 0.422 0.000 0.725
F5 0.578 0.000 0.275
F6 0.675 0.500 0.262
F7 0.839 0.304 0.763
F8 0.839 0.696 0.763